No. 1
Compound: PrHoV2O8
Source: the Alexandria database
Functional: GGA+U
Structure: optimized geometry

```
PrHoV2O8
1.0
-3.6694 3.6694 3.2154
3.6694 -3.6694 3.2154
3.6694 3.6694 -3.2154
Pr Ho V O
1 1 2 8
direct
0.0000 0.0000 0.0000
0.7500 0.2500 0.5000
0.2500 0.7500 0.5000
0.5000 0.5000 0.0000
0.0717 0.3937 0.3220
0.0717 0.7497 0.6780
0.1450 0.3313 0.8138
0.2503 0.9283 0.3220
0.5175 0.3313 0.1862
0.6063 0.9283 0.6780
0.6687 0.4825 0.8138
0.6687 0.8550 0.1862
```

Properties
E_tot: -8.04 eV/atom
volume: 173.2 Å³ per cell

---

No. 2
Compound: PrHo2WO8
Source: the Alexandria database
Functional: GGA+U
Structure: optimized geometry

```
PrHo2WO8
1.0
3.5492 -3.5789 0.0000
3.5492 3.5789 0.0000
0.0000 0.0000 7.0025
Pr Ho W O
1 2 1 8
direct
0.0000 0.0000 0.0000
0.5000 0.5000 0.2604
0.5000 0.5000 0.7396
0.0000 0.0000 0.5000
0.1857 0.8143 0.2952
0.1857 0.8143 0.7048
0.2775 0.2775 0.5000
0.3214 0.3214 0.0000
0.6786 0.6786 0.0000
0.7225 0.7225 0.5000
0.8143 0.1857 0.2952
0.8143 0.1857 0.7048
```

Properties
E_tot: -7.89 eV/atom
volume: 177.9 Å³ per cell

---

no.,total moment (μB per atom)
1,0.000
2,0.072